Record 1
# Y2AgHg2 GGA-PBEsol relaxed
# Size of the total moment   0.00 μB per cell
# ΔH_f (0 K)   -0.442 eV/atom
data_Y2AgHg2
_cell_length_a 7.7052
_cell_length_b 7.7052
_cell_length_c 4.0070
_cell_angle_alpha 90.00
_cell_angle_beta 90.00
_cell_angle_gamma 90.00
_symmetry_space_group_name_H-M 'P 4/m b m'
_symmetry_Int_Tables_number 127
_symmetry_space_group_name_Hall '-P 4 2ab'
loop_
_atom_site_label
_atom_site_fract_x
_atom_site_fract_y
_atom_site_fract_z
Y1 0.1674 0.3326 0.0000
Ag1 0.0000 0.0000 0.5000
Hg1 0.1354 0.6354 0.5000

=====

Record 2
# ZnAg2Hg GGA-PBEsol relaxed
# Size of the total moment   0.00 μB per cell
# ΔH_f (0 K)   0.004 eV/atom
# Energy above the lowest structure with this stoichiometry   1.57 kJ/mol of atoms
data_ZnAg2Hg
_cell_length_a 4.0347
_cell_length_b 4.0347
_cell_length_c 8.3132
_cell_angle_alpha 90.00
_cell_angle_beta 90.00
_cell_angle_gamma 90.00
_symmetry_space_group_name_H-M 'I 4/m m m'
_symmetry_Int_Tables_number 139
_symmetry_space_group_name_Hall '-I 4 2'
loop_
_atom_site_label
_atom_site_fract_x
_atom_site_fract_y
_atom_site_fract_z
Zn1 0.0000 0.0000 0.0000
Ag1 0.0000 0.5000 0.2500
Hg1 0.0000 0.0000 0.5000